This record from Alexandria via LeMat-Bulk describes a relaxed structure of MnMoO6. The functional is GGA+U.

Cell and atoms, written as CIF:
```
data_MnMoO6
_space_group_name_H-M_alt 'F m -3 m'
_space_group_IT_number 225
_space_group_name_Hall '-F 4 2 3'
_cell_length_a 7.575
_cell_length_b 7.575
_cell_length_c 7.575
_cell_angle_alpha 90.00
_cell_angle_beta 90.00
_cell_angle_gamma 90.00
loop_
_atom_site_label
_atom_site_type_symbol
_atom_site_fract_x
_atom_site_fract_y
_atom_site_fract_z
Mn1 Mn 0.000 0.000 0.000
Mo1 Mo 0.000 0.000 0.500
O1 O 0.000 0.000 0.247
```

Total magnetic moment (μB per atom): 0.629
Electronic total energy (eV per atom): -6.447
Crystal system: cubic